This record from Alexandria describes crystalline SrCa2Cu9 at its relaxed geometry. The functional is PBE-GGA.

abc: 5.298 5.298 8.892
angles: 72.67 72.67 60.00
Positions (direct):
Ca1 0.143 0.143 0.572
Sr1 0.000 0.000 0.000
Cu1 0.668 0.668 0.995
Cu2 0.580 0.085 0.755
Cu3 0.420 0.420 0.245
Cu4 0.500 0.500 0.500
Ca2 0.857 0.857 0.428
Cu5 0.085 0.580 0.755
Cu6 0.420 0.915 0.245
Cu7 0.580 0.580 0.755
Cu8 0.332 0.332 0.005
Cu9 0.915 0.420 0.245

Summary:
- Space-group type: No. 166
- Total moment: 0.0 μB per formula unit
- Theoretical density: 6.1 g/cm3
- Crystal system: trigonal
- Formation enthalpy at 0 K: -88 meV per atom

***

This record from Alexandria describes crystalline Sr2CaCu2 at its relaxed geometry. The functional is PBE-GGA.

abc: 5.548 5.548 6.882
angles: 66.23 66.23 90.00
Positions (direct):
Cu1 0.250 0.750 0.500
Ca1 0.000 0.000 0.000
Sr1 0.340 0.340 0.321
Cu2 0.750 0.250 0.500
Sr2 0.660 0.660 0.679

Summary:
- Excess energy over the best structure of this formula in the dataset: 0.331 eV/atom
- Space-group type: No. 139
- Total moment: 0.0 μB per formula unit
- Theoretical density: 3.3 g/cm3
- Crystal system: tetragonal
- Formation enthalpy at 0 K: 268 meV per atom

***

This record from Alexandria describes crystalline Sr4Ca2Cu at its relaxed geometry. The functional is PBE-GGA.

abc: 5.900 5.900 10.700
angles: 74.00 74.00 90.00
Positions (direct):
Sr1 0.841 0.841 0.318
Ca1 0.359 0.359 0.283
Sr2 0.000 0.500 0.000
Ca2 0.641 0.641 0.717
Sr3 0.159 0.159 0.682
Cu1 0.000 0.000 0.000
Sr4 0.500 0.000 0.000

Summary:
- Space-group type: No. 139
- Total moment: 0.0 μB per formula unit
- Theoretical density: 2.4 g/cm3
- Crystal system: tetragonal
- Formation enthalpy at 0 K: 139 meV per atom

***

This record from Alexandria describes crystalline SrCaCu at its relaxed geometry. The functional is PBE-GGA.

abc: 5.246 5.246 5.246
angles: 60.00 60.00 60.00
Positions (direct):
Ca1 0.500 0.500 0.500
Sr1 0.000 0.000 0.000
Cu1 0.750 0.750 0.750

Summary:
- Excess energy over the best structure of this formula in the dataset: 0.147 eV/atom
- Space-group type: No. 216
- Total moment: 0.0 μB per formula unit
- Theoretical density: 3.1 g/cm3
- Crystal system: cubic
- Formation enthalpy at 0 K: 56 meV per atom

***

This record from Alexandria describes crystalline Sr2CaCu2 at its relaxed geometry. The functional is PBE-GGA.

abc: 9.063 9.063 3.577
angles: 90.00 90.00 90.00
Positions (direct):
Cu1 0.659 0.841 0.500
Sr1 0.861 0.639 0.000
Ca1 0.500 0.500 0.000
Sr2 0.139 0.361 0.000
Cu2 0.159 0.659 0.500
Sr3 0.639 0.139 0.000
Sr4 0.361 0.861 0.000
Ca2 0.000 0.000 0.000
Cu3 0.841 0.341 0.500
Cu4 0.341 0.159 0.500

Summary:
- Excess energy over the best structure of this formula in the dataset: 0.235 eV/atom
- Space-group type: No. 127
- Total moment: 0.0 μB per formula unit
- Theoretical density: 3.9 g/cm3
- Crystal system: tetragonal
- Formation enthalpy at 0 K: 172 meV per atom

***

This record from Alexandria describes crystalline SrCaCu at its relaxed geometry. The functional is PBE-GGA.

abc: 4.341 4.341 6.740
angles: 90.00 90.00 120.00
Positions (direct):
Ca1 0.000 0.000 0.097
Sr1 0.333 0.667 0.584
Cu1 0.667 0.333 0.319

Summary:
- Excess energy over the best structure of this formula in the dataset: 0.129 eV/atom
- Space-group type: No. 156
- Total moment: 0.0 μB per formula unit
- Theoretical density: 2.9 g/cm3
- Crystal system: trigonal
- Formation enthalpy at 0 K: 39 meV per atom

***

This record from Alexandria describes crystalline SrCaCu4 at its relaxed geometry. The functional is PBE-GGA.

abc: 5.428 5.428 5.428
angles: 60.00 60.00 60.00
Positions (direct):
Ca1 0.000 0.000 0.000
Cu1 0.373 0.373 0.881
Cu2 0.373 0.881 0.373
Cu3 0.373 0.373 0.373
Cu4 0.881 0.373 0.373
Sr1 0.750 0.750 0.750

Summary:
- Excess energy over the best structure of this formula in the dataset: 0.085 eV/atom
- Space-group type: No. 216
- Total moment: 0.0 μB per formula unit
- Theoretical density: 5.6 g/cm3
- Crystal system: cubic
- Formation enthalpy at 0 K: -2 meV per atom

***

This record from Alexandria describes crystalline SrCaCu at its relaxed geometry. The functional is PBE-GGA.

abc: 4.186 7.328 7.880
angles: 117.66 105.40 90.00
Positions (direct):
Ca1 0.405 0.089 0.929
Sr1 0.682 0.606 0.483
Cu1 0.811 0.235 0.740
Cu2 0.000 0.424 0.118
Ca2 0.405 0.570 0.929
Sr2 0.128 0.052 0.375

Summary:
- Excess energy over the best structure of this formula in the dataset: 0.035 eV/atom
- Space-group type: No. 71
- Total moment: 0.0 μB per formula unit
- Theoretical density: 3.1 g/cm3
- Crystal system: orthorhombic
- Formation enthalpy at 0 K: -56 meV per atom